[1]
{
  "formula": "Nd4ErIn4",
  "functional": "PBE",
  "state": "relaxed",
  "lattice": [[6.2855, 0.0000, 0.0000], [0.0000, 9.2220, 0.0000], [0.0000, 0.0000, 9.2220]],
  "species": ["Nd", "Nd", "Nd", "Nd", "Nd", "Nd", "Nd", "Nd", "Er", "Er", "In", "In", "In", "In", "In", "In", "In", "In"],
  "fractional_positions": [[0.3693, 0.4276, 0.8284], [0.8693, 0.6716, 0.9276], [0.3693, 0.5724, 0.1716], [0.1307, 0.0724, 0.6716], [0.6307, 0.8284, 0.5724], [0.1307, 0.9276, 0.3284], [0.8693, 0.3284, 0.0724], [0.6307, 0.1716, 0.4276], [0.0000, 0.0000, 0.0000], [0.5000, 0.5000, 0.5000], [0.6189, 0.9021, 0.1989], [0.6189, 0.0979, 0.8011], [0.1189, 0.6989, 0.5979], [0.8811, 0.4021, 0.6989], [0.8811, 0.5979, 0.3011], [0.3811, 0.1989, 0.0979], [0.3811, 0.8011, 0.9021], [0.1189, 0.3011, 0.4021]],
  "mass_density_g_cm3": 7.48,
  "final_energy_ev_per_cell": -74.4,
  "formation_energy_mev_per_atom": -290,
  "total_magnetization_mub_per_fu": 0.0
}

---

[2]
{
  "formula": "Nd3ErIn2",
  "functional": "PBE",
  "state": "relaxed",
  "lattice": [[-1.4385, -4.9226, 1.3848], [6.5545, -1.9174, -0.0071], [0.7476, 2.5194, 9.7323]],
  "species": ["Nd", "Nd", "Nd", "Nd", "Nd", "Nd", "Er", "Er", "In", "In", "In", "In"],
  "fractional_positions": [[0.0000, 0.4658, 0.9649], [0.0000, 0.9658, 0.0351], [0.5000, 0.6945, 0.1829], [0.5000, 0.1945, 0.8171], [0.0000, 0.3059, 0.3275], [0.0000, 0.8059, 0.6725], [0.5000, 0.5309, 0.5381], [0.5000, 0.0309, 0.4619], [0.5000, 0.7108, 0.8534], [0.5000, 0.2108, 0.1466], [0.0000, 0.2921, 0.6433], [0.0000, 0.7921, 0.3567]],
  "mass_density_g_cm3": 7.53,
  "final_energy_ev_per_cell": -52.9,
  "relative_energy_kj_per_mol_atoms": 0.0,
  "formation_energy_mev_per_atom": -348,
  "total_magnetization_mub_per_fu": 0.0
}

---

[3]
{
  "formula": "NdErIn6",
  "functional": "PBE",
  "state": "relaxed",
  "lattice": [[4.6705, 0.0000, 0.0000], [0.0000, 4.6705, 0.0000], [0.0000, 0.0000, 9.3311]],
  "species": ["Nd", "Er", "In", "In", "In", "In", "In", "In"],
  "fractional_positions": [[0.0000, 0.0000, 0.0000], [0.0000, 0.0000, 0.5000], [0.5000, 0.5000, 0.0000], [0.5000, 0.5000, 0.5000], [0.5000, 0.0000, 0.2556], [0.5000, 0.0000, 0.7444], [0.0000, 0.5000, 0.2556], [0.0000, 0.5000, 0.7444]],
  "mass_density_g_cm3": 8.16,
  "final_energy_ev_per_cell": -29.2,
  "formation_energy_mev_per_atom": -428,
  "total_magnetization_mub_per_fu": 0.0
}

---

Number 1 is which compound? Nd4ErIn4

---

Copy entry 1 word for word.
{
  "formula": "Nd4ErIn4",
  "functional": "PBE",
  "state": "relaxed",
  "lattice": [[6.2855, 0.0000, 0.0000], [0.0000, 9.2220, 0.0000], [0.0000, 0.0000, 9.2220]],
  "species": ["Nd", "Nd", "Nd", "Nd", "Nd", "Nd", "Nd", "Nd", "Er", "Er", "In", "In", "In", "In", "In", "In", "In", "In"],
  "fractional_positions": [[0.3693, 0.4276, 0.8284], [0.8693, 0.6716, 0.9276], [0.3693, 0.5724, 0.1716], [0.1307, 0.0724, 0.6716], [0.6307, 0.8284, 0.5724], [0.1307, 0.9276, 0.3284], [0.8693, 0.3284, 0.0724], [0.6307, 0.1716, 0.4276], [0.0000, 0.0000, 0.0000], [0.5000, 0.5000, 0.5000], [0.6189, 0.9021, 0.1989], [0.6189, 0.0979, 0.8011], [0.1189, 0.6989, 0.5979], [0.8811, 0.4021, 0.6989], [0.8811, 0.5979, 0.3011], [0.3811, 0.1989, 0.0979], [0.3811, 0.8011, 0.9021], [0.1189, 0.3011, 0.4021]],
  "mass_density_g_cm3": 7.48,
  "final_energy_ev_per_cell": -74.4,
  "formation_energy_mev_per_atom": -290,
  "total_magnetization_mub_per_fu": 0.0
}